Model a:
{"formula": "LaZn2F", "functional": "GGA-PBE", "state": "optimized geometry", "magnetic_moment_mub_per_fu": 0.0, "density_g_cm3": 5.1, "cell": [[-4.470, 4.470, 2.338], [4.470, -4.470, 2.338], [4.470, 4.470, -2.338]], "species": ["La", "La", "Zn", "Zn", "Zn", "Zn", "F", "F"], "fractional_positions": [[0.000, 0.000, 0.000], [0.750, 0.250, 0.500], [0.151, 0.625, 0.026], [0.375, 0.401, 0.526], [0.599, 0.125, 0.974], [0.875, 0.849, 0.474], [0.250, 0.750, 0.500], [0.500, 0.500, 0.000]]}

Model b:
{"formula": "LaZn2F", "functional": "GGA-PBE", "state": "optimized geometry", "magnetic_moment_mub_per_fu": 0.0, "density_g_cm3": 5.6, "cell": [[0.000, 3.505, 3.505], [3.505, 0.000, 3.505], [3.505, 3.505, 0.000]], "species": ["La", "Zn", "Zn", "F"], "fractional_positions": [[0.000, 0.000, 0.000], [0.250, 0.250, 0.250], [0.750, 0.750, 0.750], [0.500, 0.500, 0.500]]}

The computed energies, referenced to the most stable structure and given in meV per atom, are model a 0; model b 587.